Record 1
DFT (GGA-PBE) results for an optimized crystal structure of Pt2Br.

a b c (Å): 4.6881 4.6881 2.8833
angles (deg): 90.00 90.00 120.00
With the nearest neighbours (Å) after each atom.
Space group P6/mmm (No. 191)
One atom of each set of equivalent atoms:
Pt: 0.3333 0.6667 0.0000 (multiplicity 2)  5 Pt 2.71-2.88
Br: 0.0000 0.0000 0.5000 (multiplicity 1)  2 Br 2.88, 12 Pt 3.07

## Properties
E_form (uncorrected) in eV/atom: 0.80
Polymorph energy (0 for the lowest one) in eV per atom: 0.615
E in eV for the cell shown: -11.34

Record 2
DFT (GGA-PBE) results for an optimized crystal structure of Pt2Br.

a b c (Å): 4.4435 4.4435 6.3188
angles (deg): 90.00 90.00 120.00
With the nearest neighbours (Å) after each atom.
Space group P6_3/mmc (No. 194)
One atom of each set of equivalent atoms:
Pt: 0.0000 0.0000 0.0000 (multiplicity 2)  6 Br 3.01, 8 Pt 3.01-3.16
Pt: 0.3333 0.6667 0.2500 (multiplicity 2)  3 Br 2.57
Br: 0.3333 0.6667 0.7500 (multiplicity 2)  3 Pt 2.57

## Properties
E_form (uncorrected) in eV/atom: 0.82
Polymorph energy (0 for the lowest one) in eV per atom: 0.633
E in eV for the cell shown: -22.57

Record 3
DFT (GGA-PBE) results for an optimized crystal structure of PtBr.

a b c (Å): 5.9060 5.9060 5.9060
angles (deg): 90.00 90.00 90.00
With the nearest neighbours (Å) after each atom.
Space group F-43m (No. 216)
One atom of each set of equivalent atoms:
Pt: 0.0000 0.0000 0.0000 (multiplicity 4)  4 Br 2.56
Br: 0.2500 0.2500 0.2500 (multiplicity 4)  4 Pt 2.56

## Properties
E_form (uncorrected) in eV/atom: 0.65
E in eV for the cell shown: -25.69

Record 4
DFT (GGA-PBE) results for an optimized crystal structure of Pt5Br.

a b c (Å): 4.8845 4.8845 4.8226
angles (deg): 90.00 90.00 120.00
With the nearest neighbours (Å) after each atom.
Space group P-62m (No. 189)
One atom of each set of equivalent atoms:
Pt: 0.0000 0.6516 0.0000 (multiplicity 3)  10 Pt 2.76-2.95, 2 Br 2.95
Pt: 0.3333 0.6667 0.5000 (multiplicity 2)  3 Br 2.82, 9 Pt 2.82-2.89
Br: 0.0000 0.0000 0.5000 (multiplicity 1)  12 Pt 2.82-2.95

## Properties
E_form (uncorrected) in eV/atom: 0.44
Polymorph energy (0 for the lowest one) in eV per atom: 0.119
E in eV for the cell shown: -29.23

Record 5
DFT (GGA-PBE) results for an optimized crystal structure of Pt3Br4.

a b c (Å): 3.2865 3.2865 30.6356
angles (deg): 90.00 90.00 90.00
With the nearest neighbours (Å) after each atom.
Space group I4/mmm (No. 139)
One atom of each set of equivalent atoms:
Pt: 0.0000 0.0000 0.0000 (multiplicity 2)  8 Br 2.86
Pt: 0.0000 0.0000 0.2743 (multiplicity 4)  4 Pt 2.76, 4 Br 2.88
Br: 0.0000 0.0000 0.1701 (multiplicity 4)  5 Pt 2.88-3.19
Br: 0.0000 0.0000 0.4456 (multiplicity 4)  4 Pt 2.86

## Properties
E_form (uncorrected) in eV/atom: 0.50
Polymorph energy (0 for the lowest one) in eV per atom: 0.000
E in eV for the cell shown: -42.62

Record 6
DFT (GGA-PBE) results for an optimized crystal structure of PtBr.

a b c (Å): 9.5492 9.5492 5.0018
angles (deg): 90.00 90.00 90.00
With the nearest neighbours (Å) after each atom.
Space group P4/m (No. 83)
One atom of each set of equivalent atoms:
Pt: 0.0317 0.1899 0.0000 (multiplicity 4)  2 Br 2.46-2.50, 2 Pt 2.60
Pt: 0.2687 0.6468 0.5000 (multiplicity 4)  4 Br 2.44-2.64
Br: 0.1476 0.4209 0.5000 (multiplicity 4)  2 Pt 2.44-2.45
Br: 0.2042 0.7070 0.0000 (multiplicity 4)  4 Pt 2.46-2.64

## Properties
E_form (uncorrected) in eV/atom: 0.38
E in eV for the cell shown: -55.68

Record 7
DFT (GGA-PBE) results for an optimized crystal structure of PtBr.

a b c (Å): 12.9080 3.7355 6.7157
angles (deg): 90.00 111.66 90.00
With the nearest neighbours (Å) after each atom.
Space group Cm (No. 8)
One atom of each set of equivalent atoms:
Pt: 0.0000 0.0000 0.0000 (multiplicity 2)  2 Br 2.43, 2 Pt 2.62
Pt: 0.0027 0.5000 0.5240 (multiplicity 2)  4 Br 2.55
Pt: 0.1379 0.5000 0.9808 (multiplicity 2)  2 Br 2.49, 2 Pt 2.62
Br: 0.0933 0.0000 0.3874 (multiplicity 2)  3 Pt 2.43-2.55
Br: 0.2675 0.0000 0.9931 (multiplicity 2)  2 Pt 2.49
Br: 0.3936 0.5000 0.6162 (multiplicity 2)  3 Pt 2.43-2.55

## Properties
E_form (uncorrected) in eV/atom: 0.18
E in eV for the cell shown: -44.09

Record 8
DFT (GGA-PBE) results for an optimized crystal structure of PtBr.

a b c (Å): 4.9177 4.9177 12.0235
angles (deg): 90.00 90.00 120.00
With the nearest neighbours (Å) after each atom.
Space group P-3m1 (No. 164)
One atom of each set of equivalent atoms:
Pt: 0.0000 0.0000 0.1069 (multiplicity 2)  1 Br 2.50, 1 Pt 2.57
Pt: 0.3333 0.6667 0.1220 (multiplicity 2)  4 Pt 2.63-2.85, 4 Br 2.68-2.85
Pt: 0.3333 0.6667 0.3408 (multiplicity 2)  4 Br 2.61-2.86, 1 Pt 2.63
Br: 0.0000 0.0000 0.3152 (multiplicity 2)  1 Pt 2.50
Br: 0.3333 0.6667 0.5582 (multiplicity 2)  1 Pt 2.61
Br: 0.3333 0.6667 0.8988 (multiplicity 2)  7 Pt 2.68-2.85

## Properties
E_form (uncorrected) in eV/atom: 0.45
E in eV for the cell shown: -40.83

Here are the calculated total magnetization numbers, same order: 0.000, 0.000, 0.000, 0.000, 0.158, 0.000, 0.068, 0.000 (μB per atom).